{"formula": "InNiRh2", "functional": "GGA-PBE", "state": "relaxed", "lattice_angstrom": [[-2.028, 2.028, 3.645], [2.028, -2.028, 3.645], [2.028, 2.028, -3.645]], "species": ["In", "Ni", "Rh", "Rh"], "frac_coords": [[0.000, 0.000, 0.000], [0.500, 0.500, 0.000], [0.250, 0.750, 0.500], [0.750, 0.250, 0.500]], "delta_e_f_ev_per_atom": -0.116, "vol_a3_per_cell": 60, "n_ef_per_ev_atom": 0.9171}